## CsFeBr2F (GGA+U)

Data for a relaxed structure of CsFeBr2F.

a = 5.6918 Å, b = 5.6918 Å, c = 4.1256 Å
α = 90.00°, β = 90.00°, γ = 90.00°
Positions (direct):
Cs: 0.0000 0.0000 0.0000
Fe: 0.5000 0.5000 0.5000
Br: 0.0000 0.5000 0.5000
Br: 0.5000 0.0000 0.5000
F: 0.5000 0.5000 0.0000

E_tot ... -0.291 Ry per atom
Size of the total moment ... 3.96 μB/cell
Space group ... P4/mmm, No. 123
D(E_F) ... 0.000 states/eV/f.u.
Crystal system ... tetragonal